# YBPdRh2 (PBE-GGA, relaxed)
# E_form: -794 meV per atom
data_YBPdRh2
_cell_length_a 4.229
_cell_length_b 4.229
_cell_length_c 4.247
_cell_angle_alpha 90.00
_cell_angle_beta 90.00
_cell_angle_gamma 90.00
_symmetry_space_group_name_H-M 'P 1'
_symmetry_Int_Tables_number 1
_symmetry_space_group_name_Hall 'P 1'
loop_
_atom_site_label
_atom_site_fract_x
_atom_site_fract_y
_atom_site_fract_z
B1 0.000 0.000 0.000
Rh1 0.500 0.000 0.000
Rh2 0.000 0.500 0.000
Pd1 0.000 0.000 0.500
Y1 0.500 0.500 0.500